{"formula": "LaMnFeTe2", "functional": "PBE", "state": "relaxed", "lattice_angstrom": [[5.228, 0.000, 0.000], [0.000, 5.228, 0.000], [0.000, 0.000, 4.404]], "species": ["La", "Mn", "Fe", "Te", "Te"], "fractional_positions": [[0.000, 0.000, 0.000], [0.500, 0.500, 0.000], [0.500, 0.500, 0.500], [0.000, 0.500, 0.500], [0.500, 0.000, 0.500]], "volume_a3_per_cell": 120, "spacegroup": "P4/mmm (123)", "total_energy_ev_per_atom": -5.92}